1.
VASP calculation (PBE) on TaCoSe after structural relaxation.

Cell: 3.848 3.848 3.457 Å, 90.00 90.00 120.00°
Element x y z (fractional)
Co 0.000 0.000 0.167
Se 0.667 0.333 0.166
Ta 0.333 0.667 0.667

## Properties
ΔE to the lowest computed polymorph: 363 meV/atom
E_form (uncorrected): -68 meV/atom
Spin magnetization: 0.0 μB/cell
Volume: 14.77 Å³ per atom

=====

2.
VASP calculation (PBE) on TaCoSe after structural relaxation.

Cell: 3.336 4.338 9.238 Å, 89.79 79.86 67.42°
Element x y z (fractional)
Ta 0.841 0.165 0.656
Ta 0.159 0.835 0.344
Se 0.461 0.778 0.806
Se 0.539 0.222 0.194
Co 0.377 0.283 0.462
Co 0.623 0.717 0.538

## Properties
ΔE to the lowest computed polymorph: 75 meV/atom
E_form (uncorrected): -356 meV/atom
Spin magnetization: 0.0 μB/cell
Volume: 20.20 Å³ per atom

=====

3.
VASP calculation (PBE) on Ta4CoSe after structural relaxation.

Cell: 5.431 5.431 5.431 Å, 60.00 60.00 60.00°
Last column: magnetic moment on the atom in μB.
Element x y z (fractional)
Co 0.750 0.750 0.750  1.61
Se 0.000 0.000 0.000  0.05
Ta 0.872 0.376 0.376  -0.02
Ta 0.376 0.872 0.376  -0.02
Ta 0.376 0.376 0.376  -0.02
Ta 0.376 0.376 0.872  -0.02

## Properties
E_form (uncorrected): 770 meV/atom
Spin magnetization: 1.5 μB/cell
Volume: 18.87 Å³ per atom

=====

4.
VASP calculation (PBE) on TaCoSe6 after structural relaxation.

Cell: 6.099 6.288 6.952 Å, 56.71 55.54 57.97°
Element x y z (fractional)
Se 0.705 0.080 0.822
Se 0.295 0.920 0.178
Se 0.028 0.448 0.763
Se 0.972 0.552 0.237
Se 0.587 0.183 0.311
Se 0.413 0.817 0.689
Ta 0.500 0.500 0.500
Co 0.000 0.000 0.000

## Properties
E_form (uncorrected): -217 meV/atom
Spin magnetization: 0.0 μB/cell
Volume: 21.77 Å³ per atom

=====

5.
VASP calculation (PBE) on TaCoSe after structural relaxation.

Cell: 4.224 4.224 4.224 Å, 60.00 60.00 60.00°
Element x y z (fractional)
Se 0.500 0.500 0.500
Ta 0.750 0.750 0.750
Co 0.000 0.000 0.000

## Properties
ΔE to the lowest computed polymorph: 699 meV/atom
E_form (uncorrected): 268 meV/atom
Spin magnetization: 0.0 μB/cell
Volume: 17.76 Å³ per atom

=====

6.
VASP calculation (PBE) on TaCoSe after structural relaxation.

Cell: 3.399 4.185 8.798 Å, 90.00 100.86 90.00°
Element x y z (fractional)
Se 0.853 0.250 0.199
Se 0.147 0.750 0.801
Ta 0.063 0.250 0.628
Ta 0.937 0.750 0.372
Co 0.541 0.750 0.583
Co 0.459 0.250 0.417

## Properties
ΔE to the lowest computed polymorph: 0 meV/atom
E_form (uncorrected): -431 meV/atom
Spin magnetization: 0.0 μB/cell
Volume: 20.49 Å³ per atom

=====

Repeat the first record exactly.
VASP calculation (PBE) on TaCoSe after structural relaxation.

Cell: 3.848 3.848 3.457 Å, 90.00 90.00 120.00°
Element x y z (fractional)
Co 0.000 0.000 0.167
Se 0.667 0.333 0.166
Ta 0.333 0.667 0.667

## Properties
ΔE to the lowest computed polymorph: 363 meV/atom
E_form (uncorrected): -68 meV/atom
Spin magnetization: 0.0 μB/cell
Volume: 14.77 Å³ per atom